VASP calculation (PBE with a Hubbard U) on a relaxed LaNbFe2O6 crystal.

It has space group P1 (No. 1), with a = 5.500 Å, b = 5.549 Å, c = 5.814 Å, α = 117.64°, β = 90.29° and γ = 119.69°. The distinct sites, in fractional coordinates, are La at (0.000, 0.000, 0.000), Nb at (0.484, 0.962, 0.451), Fe at (0.269, 0.538, 0.828), Fe at (0.774, 0.548, 0.335), O at (0.083, 0.508, 0.162), O at (0.216, 0.062, 0.622), O at (0.424, 0.056, 0.153), O at (0.560, 0.752, 0.614), O at (0.627, 0.711, 0.139) and O at (0.863, 0.393, 0.623).

The calculation puts the total energy at -7.9247 eV per atom.